[1]
{"formula": "PrTm2Al6", "functional": "PBE", "state": "optimized geometry", "e_above_lowest_polymorph_ev_per_atom": 0.000, "ef_ev_per_atom": -0.46, "lattice_angstrom": [[3.500, 0.000, 0.000], [0.000, 6.879, -3.971], [0.000, 0.000, 7.943]], "species": ["Pr", "Tm", "Tm", "Al", "Al", "Al", "Al", "Al", "Al"], "frac_coords": [[0.000, 0.000, 0.000], [0.000, 0.333, 0.667], [0.000, 0.667, 0.333], [0.500, 0.337, 0.337], [0.500, 0.663, 0.663], [0.500, 0.000, 0.663], [0.500, 0.663, 0.000], [0.500, 0.337, 0.000], [0.500, 0.000, 0.337]]}

---

[2]
{"formula": "Hf2HgRh2", "functional": "PBE", "state": "optimized geometry", "ef_ev_per_atom": -0.39, "lattice_angstrom": [[-0.602, -4.357, -0.647], [3.866, -0.209, -2.187], [4.162, -3.312, 3.154]], "species": ["Rh", "Rh", "Hf", "Hf", "Hg"], "frac_coords": [[0.382, 0.382, 0.237], [0.618, 0.618, 0.763], [0.750, 0.250, 0.500], [0.250, 0.750, 0.500], [0.000, 0.000, 0.000]]}

---

[3]
{"formula": "MnFe", "functional": "PBE", "state": "optimized geometry", "ef_ev_per_atom": 0.91, "lattice_angstrom": [[3.294, 0.000, 0.000], [1.647, 2.853, 0.000], [1.647, 0.951, 2.690]], "species": ["Fe", "Mn"], "frac_coords": [[0.000, 0.000, 0.000], [0.500, 0.500, 0.500]]}

---

[4]
{"formula": "Y2ZnGa3Au4", "functional": "PBE", "state": "optimized geometry", "ef_ev_per_atom": -0.58, "lattice_angstrom": [[-3.753, 0.418, 2.133], [-0.248, -4.311, 0.407], [5.319, 0.566, 9.245]], "species": ["Y", "Y", "Zn", "Ga", "Ga", "Ga", "Au", "Au", "Au", "Au"], "frac_coords": [[0.500, 0.000, 0.251], [0.000, 0.500, 0.749], [0.500, 0.500, 0.500], [0.000, 0.000, 0.500], [0.500, 0.000, 0.866], [0.000, 0.500, 0.134], [0.500, 0.500, 0.000], [0.000, 0.000, 0.000], [0.500, 0.000, 0.635], [0.000, 0.500, 0.365]]}